# 1
This record from Alexandria via LeMat-Bulk describes a relaxed LuBOs crystal. The functional is PBE.

Properties
Total magnetic moment ... 0.00 Bohr magnetons per cell
E ... -23.701 eV per cell
ΔE to the lowest computed polymorph ... 0 meV/atom
Energy of formation from the pure elements ... -0.42 eV per atom

Cell lengths 3.6421, 3.6421, 4.1660 Å; angles 90.00, 90.00, 120.00 degrees
Space group P-6m2 (No. 187)
One atom of each set of equivalent atoms:
Lu1 0.0000 0.0000 0.0000 [1 per cell]
B1 0.3333 0.6667 0.5000 [1 per cell]
Os1 0.6667 0.3333 0.5000 [1 per cell]


# 2
This record from Alexandria via LeMat-Bulk describes a relaxed LuBOs crystal. The functional is PBE.

Properties
Total magnetic moment ... 0.00 Bohr magnetons per cell
E ... -46.124 eV per cell
ΔE to the lowest computed polymorph ... 213 meV/atom
Energy of formation from the pure elements ... -0.21 eV per atom

Cell lengths 2.998, 2.998, 9.678 Å; angles 90.00, 90.00, 90.00 degrees
Space group I4mm (No. 107)
One atom of each set of equivalent atoms:
Lu1 0.000 0.000 0.000 [2 per cell]
B1 0.000 0.000 0.704 [2 per cell]
Os1 0.000 0.000 0.283 [2 per cell]


# 3
This record from Alexandria via LeMat-Bulk describes a relaxed LuB4Os crystal. The functional is PBE.

Properties
Total magnetic moment ... 0.00 Bohr magnetons per cell
E ... -184.178 eV per cell
Energy of formation from the pure elements ... -0.60 eV per atom

Cell lengths 5.917, 11.436, 3.539 Å; angles 90.00, 90.00, 90.00 degrees
Space group Pbam (No. 55)
One atom of each set of equivalent atoms:
Lu1 0.129 0.150 0.000 [4 per cell]
B1 0.023 0.693 0.500 [4 per cell]
B2 0.113 0.548 0.500 [4 per cell]
B3 0.135 0.970 0.500 [4 per cell]
B4 0.208 0.814 0.500 [4 per cell]
Os1 0.143 0.406 0.000 [4 per cell]


# 4
This record from Alexandria via LeMat-Bulk describes a relaxed LuPa2B crystal. The functional is PBE.

Properties
Total magnetic moment ... 0.00 Bohr magnetons per cell
E ... -88.381 eV per cell
Energy of formation from the pure elements ... 0.18 eV per atom

Cell lengths 3.3752, 3.3752, 28.5002 Å; angles 90.00, 90.00, 120.00 degrees
Space group R-3m (No. 166, hexagonal axes)
One atom of each set of equivalent atoms:
Lu1 0.0000 0.0000 0.0000 [3 per cell]
Pa1 0.0000 0.0000 0.1131 [6 per cell]
B1 0.0000 0.0000 0.5000 [3 per cell]


# 5
This record from Alexandria via LeMat-Bulk describes a relaxed LuPaB4 crystal. The functional is PBE.

Properties
Total magnetic moment ... 0.00 Bohr magnetons per cell
E ... -155.046 eV per cell
Energy of formation from the pure elements ... 0.33 eV per atom

Cell lengths 6.694, 6.694, 6.694 Å; angles 90.00, 90.00, 90.00 degrees
Space group F-43m (No. 216)
One atom of each set of equivalent atoms:
Lu1 0.000 0.000 0.000 [4 per cell]
Pa1 0.250 0.250 0.750 [4 per cell]
B1 0.094 0.094 0.406 [16 per cell]


# 6
This record from Alexandria via LeMat-Bulk describes a relaxed LuPaB2 crystal. The functional is PBE.

Properties
Total magnetic moment ... 0.00 Bohr magnetons per cell
E ... -80.948 eV per cell
Energy of formation from the pure elements ... 0.10 eV per atom

Cell lengths 3.7129, 3.7129, 17.7227 Å; angles 90.00, 90.00, 120.00 degrees
Space group R-3m (No. 166, hexagonal axes)
One atom of each set of equivalent atoms:
Lu1 0.0000 0.0000 0.0000 [3 per cell]
Pa1 0.0000 0.0000 0.5000 [3 per cell]
B1 0.0000 0.0000 0.2445 [6 per cell]


# 7
This record from Alexandria via LeMat-Bulk describes a relaxed Lu4BPb2 crystal. The functional is PBE.

Properties
Total magnetic moment ... 0.00 Bohr magnetons per cell
E ... -70.023 eV per cell
Energy of formation from the pure elements ... -0.40 eV per atom

Cell lengths 4.811, 4.811, 15.800 Å; angles 90.00, 90.00, 90.00 degrees
Space group I4/mmm (No. 139)
One atom of each set of equivalent atoms:
Lu1 0.000 0.000 0.161 [4 per cell]
Lu2 0.000 0.500 0.000 [4 per cell]
B1 0.000 0.000 0.000 [2 per cell]
Pb1 0.000 0.000 0.359 [4 per cell]


# 8
This record from Alexandria via LeMat-Bulk describes a relaxed LuBPd3 crystal. The functional is PBE.

Properties
Total magnetic moment ... 0.00 Bohr magnetons per cell
E ... -29.998 eV per cell
Energy of formation from the pure elements ... -0.64 eV per atom

Cell lengths 4.283, 4.283, 4.283 Å; angles 90.00, 90.00, 90.00 degrees
Space group Pm-3m (No. 221)
One atom of each set of equivalent atoms:
Lu1 0.000 0.000 0.000 [1 per cell]
B1 0.500 0.500 0.500 [1 per cell]
Pd1 0.000 0.500 0.500 [3 per cell]


# 9
This record from Alexandria via LeMat-Bulk describes a relaxed PmLu3B crystal. The functional is PBE.

Properties
Total magnetic moment ... 0.00 Bohr magnetons per cell
E ... -24.867 eV per cell
Energy of formation from the pure elements ... 0.02 eV per atom

Cell lengths 5.065, 5.065, 5.065 Å; angles 90.00, 90.00, 90.00 degrees
Space group Pm-3m (No. 221)
One atom of each set of equivalent atoms:
Pm1 0.000 0.000 0.000 [1 per cell]
Lu1 0.000 0.500 0.500 [3 per cell]
B1 0.500 0.500 0.500 [1 per cell]


# 10
This record from Alexandria via LeMat-Bulk describes a relaxed PrLu3B crystal. The functional is PBE.

Properties
Total magnetic moment ... 0.00 Bohr magnetons per cell
E ... -24.927 eV per cell
Energy of formation from the pure elements ... 0.02 eV per atom

Cell lengths 5.077, 5.077, 5.077 Å; angles 90.00, 90.00, 90.00 degrees
Space group Pm-3m (No. 221)
One atom of each set of equivalent atoms:
Pr1 0.000 0.000 0.000 [1 per cell]
Lu1 0.000 0.500 0.500 [3 per cell]
B1 0.500 0.500 0.500 [1 per cell]


# 11
This record from Alexandria via LeMat-Bulk describes a relaxed Lu2ReB6 crystal. The functional is PBE.

Properties
Total magnetic moment ... 0.00 Bohr magnetons per cell
E ... -271.167 eV per cell
Energy of formation from the pure elements ... -0.69 eV per atom

Cell lengths 9.069, 11.423, 3.617 Å; angles 90.00, 90.00, 90.00 degrees
Space group Pbam (No. 55)
One atom of each set of equivalent atoms:
Lu1 0.057 0.129 0.000 [4 per cell]
Lu2 0.177 0.414 0.000 [4 per cell]
Re1 0.138 0.679 0.000 [4 per cell]
B1 0.019 0.288 0.500 [4 per cell]
B2 0.053 0.566 0.500 [4 per cell]
B3 0.099 0.972 0.500 [4 per cell]
B4 0.130 0.816 0.500 [4 per cell]
B5 0.207 0.235 0.500 [4 per cell]
B6 0.249 0.080 0.500 [4 per cell]


# 12
This record from Alexandria via LeMat-Bulk describes a relaxed LuB4Rh4 crystal. The functional is PBE.

Properties
Total magnetic moment ... 0.00 Bohr magnetons per cell
E ... -526.690 eV per cell
ΔE to the lowest computed polymorph ... 6 meV/atom
Energy of formation from the pure elements ... -0.58 eV per atom

Cell lengths 7.515, 7.515, 14.865 Å; angles 90.00, 90.00, 90.00 degrees
Space group I4_1/acd (No. 142, origin choice 2)
One atom of each set of equivalent atoms:
Lu1 0.000 0.250 0.125 [8 per cell]
B1 0.137 0.079 0.293 [32 per cell]
Rh1 0.116 0.095 0.439 [32 per cell]


# 13
This record from Alexandria via LeMat-Bulk describes a relaxed LuB4Rh4 crystal. The functional is PBE.

Properties
Total magnetic moment ... 0.00 Bohr magnetons per cell
E ... -790.656 eV per cell
ΔE to the lowest computed polymorph ... 0 meV/atom
Energy of formation from the pure elements ... -0.58 eV per atom

Cell lengths 7.489, 22.370, 7.510 Å; angles 90.00, 90.00, 90.00 degrees
Space group Ccce (No. 68, origin choice 2)
One atom of each set of equivalent atoms:
Lu1 0.000 0.082 0.250 [8 per cell]
Lu2 0.000 0.250 0.750 [4 per cell]
B1 0.137 0.140 0.580 [16 per cell]
B2 0.146 0.197 0.418 [16 per cell]
B3 0.169 0.028 0.886 [16 per cell]
Rh1 0.117 0.042 0.594 [16 per cell]
Rh2 0.148 0.206 0.129 [16 per cell]
Rh3 0.154 0.124 0.866 [16 per cell]


# 14
This record from Alexandria via LeMat-Bulk describes a relaxed LuBRh3 crystal. The functional is PBE.

Properties
Total magnetic moment ... 0.00 Bohr magnetons per cell
E ... -37.435 eV per cell
Energy of formation from the pure elements ... -0.84 eV per atom

Cell lengths 4.172, 4.172, 4.172 Å; angles 90.00, 90.00, 90.00 degrees
Space group Pm-3m (No. 221)
One atom of each set of equivalent atoms:
Lu1 0.000 0.000 0.000 [1 per cell]
B1 0.500 0.500 0.500 [1 per cell]
Rh1 0.000 0.500 0.500 [3 per cell]


# 15
This record from Alexandria via LeMat-Bulk describes a relaxed LuB4Rh4 crystal. The functional is PBE.

Properties
Total magnetic moment ... 0.00 Bohr magnetons per cell
E ... -131.703 eV per cell
ΔE to the lowest computed polymorph ... 4 meV/atom
Energy of formation from the pure elements ... -0.58 eV per atom

Cell lengths 5.319, 5.319, 7.421 Å; angles 90.00, 90.00, 90.00 degrees
Space group P4_2/nmc (No. 137, origin choice 2)
One atom of each set of equivalent atoms:
Lu1 0.250 0.750 0.250 [2 per cell]
B1 0.081 0.250 0.103 [8 per cell]
Rh1 0.001 0.750 0.603 [8 per cell]


# 16
This record from Alexandria via LeMat-Bulk describes a relaxed Lu2B6Ru crystal. The functional is PBE.

Properties
Total magnetic moment ... 0.00 Bohr magnetons per cell
E ... -260.205 eV per cell
Energy of formation from the pure elements ... -0.74 eV per atom

Cell lengths 9.026, 11.388, 3.594 Å; angles 90.00, 90.00, 90.00 degrees
Space group Pbam (No. 55)
One atom of each set of equivalent atoms:
Lu1 0.056 0.127 0.000 [4 per cell]
Lu2 0.179 0.414 0.000 [4 per cell]
B1 0.019 0.287 0.500 [4 per cell]
B2 0.053 0.566 0.500 [4 per cell]
B3 0.107 0.971 0.500 [4 per cell]
B4 0.131 0.816 0.500 [4 per cell]
B5 0.209 0.234 0.500 [4 per cell]
B6 0.249 0.579 0.500 [4 per cell]
Ru1 0.138 0.679 0.000 [4 per cell]


# 17
This record from Alexandria via LeMat-Bulk describes a relaxed LuBRu crystal. The functional is PBE.

Properties
Total magnetic moment ... 0.00 Bohr magnetons per cell
E ... -21.904 eV per cell
Energy of formation from the pure elements ... -0.48 eV per atom

Cell lengths 3.6156, 3.6156, 4.1621 Å; angles 90.00, 90.00, 120.00 degrees
Space group P-6m2 (No. 187)
One atom of each set of equivalent atoms:
Lu1 0.0000 0.0000 0.0000 [1 per cell]
B1 0.3333 0.6667 0.5000 [1 per cell]
Ru1 0.6667 0.3333 0.5000 [1 per cell]


# 18
This record from Alexandria via LeMat-Bulk describes a relaxed LuB4Ru crystal. The functional is PBE.

Properties
Total magnetic moment ... 0.00 Bohr magnetons per cell
E ... -177.700 eV per cell
ΔE to the lowest computed polymorph ... 0 meV/atom
Energy of formation from the pure elements ... -0.65 eV per atom

Cell lengths 5.909, 11.423, 3.521 Å; angles 90.00, 90.00, 90.00 degrees
Space group Pbam (No. 55)
One atom of each set of equivalent atoms:
Lu1 0.129 0.150 0.000 [4 per cell]
B1 0.023 0.693 0.500 [4 per cell]
B2 0.113 0.548 0.500 [4 per cell]
B3 0.135 0.970 0.500 [4 per cell]
B4 0.208 0.814 0.500 [4 per cell]
Ru1 0.142 0.407 0.000 [4 per cell]